Sr5Sn2Hg2: relaxed, PBE.

Unit cell a=17.5877 b=8.6737 c=8.6521 alpha=90.00 beta=90.00 gamma=90.00
Last column: nearest neighbours and their distance in Å.
Space group Cmce (No. 64)
Inequivalent atoms, fractional coordinates:
1 Sr 0.0000 0.0000 0.0000  4 Sn 3.44-3.45, 2 Hg 3.61
2 Sr 0.1368 0.1750 0.3295  3 Hg 3.40-3.50, 3 Sn 3.49-3.54
3 Sn 0.0000 0.1211 0.6213  1 Sn 2.97
4 Hg 0.2050 0.0000 0.0000  7 Sr 3.40-3.61

Summary:
- Crystal system: orthorhombic
- Density: 5.42 g/cm³
- DFT formation energy: -0.546 eV/atom
- M_tot: 0.0 μB/cell